CrBr2F: optimized geometry, PBE+U.

Output
calculated density = 5.3 g cm⁻³
E above lowest polymorph = 739 meV/atom
calculated total energy = -3.637 eV/atom
symmetry = Fm-3m

```
CrBr2F
1.0
0.0000 3.2969 3.2969
3.2969 0.0000 3.2969
3.2969 3.2969 0.0000
Cr Br F
1 2 1
Cartesian
3.2969 3.2969 3.2969 Cr
1.6485 1.6485 1.6485 Br
4.9454 4.9454 4.9454 Br
0.0000 0.0000 0.0000 F
```